1.
First-principles (GGA-PBE) data for an optimized crystal structure of TbZn6Ga2, as listed in the Alexandria database.

Output
- Total energy: -20.27 eV per cell
- Total magnetic moment: 0.00 μB/f.u.
- Formation energy: -0.215 eV/atom
- Calculated volume: 152.1 Å³/cell

```
TbZn6Ga2
1.0
4.101 0.000 0.000
0.000 4.101 0.000
0.000 0.000 9.043
Tb Zn Ga
1 6 2
direct
0.000 0.000 0.000
0.000 0.000 0.500
0.000 0.500 0.301
0.000 0.500 0.699
0.500 0.000 0.301
0.500 0.000 0.699
0.500 0.500 0.500
0.500 0.500 0.135
0.500 0.500 0.865
```

2.
First-principles (GGA-PBE) data for an optimized crystal structure of Tb2Zn5Ga3, as listed in the Alexandria database.

Output
- ΔE to the lowest computed polymorph: 0.0321 eV/atom
- Total energy: -28.58 eV per cell
- Total magnetic moment: 0.00 μB/f.u.
- Formation energy: -0.387 eV/atom
- Calculated volume: 184.9 Å³/cell

```
Tb2Zn5Ga3
1.0
4.170 0.000 0.000
0.000 4.170 0.000
0.000 0.000 10.630
Tb Zn Ga
2 5 3
direct
0.000 0.500 0.249
0.500 0.000 0.751
0.000 0.000 0.500
0.000 0.500 0.631
0.500 0.000 0.369
0.500 0.500 0.000
0.500 0.500 0.500
0.000 0.000 0.000
0.000 0.500 0.857
0.500 0.000 0.143
```

3.
First-principles (GGA-PBE) data for an optimized crystal structure of Tb2Zn3Ga5, as listed in the Alexandria database.

Output
- Total energy: -64.92 eV per cell
- Total magnetic moment: 0.00 μB/f.u.
- Formation energy: -0.424 eV/atom
- Calculated volume: 372.6 Å³/cell

```
Tb2Zn3Ga5
1.0
-5.372 5.901 2.938
5.372 -5.901 2.938
5.372 5.901 -2.938
Tb Zn Ga
4 6 10
direct
0.126 0.248 0.373
0.374 0.748 0.122
0.626 0.252 0.878
0.874 0.752 0.627
0.127 0.865 0.992
0.250 0.750 0.500
0.373 0.365 0.738
0.627 0.635 0.262
0.750 0.250 0.500
0.873 0.135 0.008
0.004 0.750 0.254
0.120 0.643 0.763
0.250 0.250 0.000
0.380 0.143 0.523
0.496 0.750 0.746
0.504 0.250 0.254
0.620 0.857 0.477
0.750 0.750 0.000
0.880 0.357 0.237
0.996 0.250 0.746
```

4.
First-principles (GGA-PBE) data for an optimized crystal structure of TbZn2Ga, as listed in the Alexandria database.

Output
- Total energy: -47.93 eV per cell
- Total magnetic moment: 0.00 μB/f.u.
- Formation energy: -0.445 eV/atom
- Calculated volume: 306.6 Å³/cell

```
TbZn2Ga
1.0
2.117 -8.092 0.000
2.117 8.092 0.000
0.000 0.000 8.950
Tb Zn Ga
4 8 4
direct
0.000 0.000 0.000
0.000 0.000 0.500
0.201 0.799 0.750
0.799 0.201 0.250
0.190 0.810 0.107
0.190 0.810 0.393
0.399 0.601 0.750
0.449 0.551 0.250
0.551 0.449 0.750
0.601 0.399 0.250
0.810 0.190 0.607
0.810 0.190 0.893
0.355 0.645 0.026
0.355 0.645 0.474
0.645 0.355 0.526
0.645 0.355 0.974
```

5.
First-principles (GGA-PBE) data for an optimized crystal structure of Tb4ZnGa12, as listed in the Alexandria database.

Output
- Total energy: -64.59 eV per cell
- Total magnetic moment: 0.00 μB/f.u.
- Formation energy: -0.498 eV/atom
- Calculated volume: 330.2 Å³/cell

```
Tb4ZnGa12
1.0
-4.354 4.354 4.354
4.354 -4.354 4.354
4.354 4.354 -4.354
Tb Zn Ga
4 1 12
direct
0.000 0.000 0.500
0.000 0.500 0.000
0.500 0.000 0.000
0.500 0.500 0.500
0.000 0.000 0.000
0.000 0.302 0.302
0.000 0.698 0.698
0.250 0.500 0.750
0.250 0.750 0.500
0.302 0.000 0.302
0.302 0.302 0.000
0.500 0.250 0.750
0.500 0.750 0.250
0.698 0.000 0.698
0.698 0.698 0.000
0.750 0.250 0.500
0.750 0.500 0.250
```

6.
First-principles (GGA-PBE) data for an optimized crystal structure of Tb3ZnGa2, as listed in the Alexandria database.

Output
- ΔE to the lowest computed polymorph: 0.0000 eV/atom
- Total energy: -48.66 eV per cell
- Total magnetic moment: 0.00 μB/f.u.
- Formation energy: -0.518 eV/atom
- Calculated volume: 276.6 Å³/cell

```
Tb3ZnGa2
1.0
5.076 0.000 0.000
-2.538 4.396 0.000
0.000 0.000 12.397
Tb Zn Ga
6 2 4
direct
0.000 0.000 0.250
0.000 0.000 0.750
0.333 0.667 0.417
0.333 0.667 0.917
0.667 0.333 0.083
0.667 0.333 0.583
0.333 0.667 0.168
0.667 0.333 0.832
0.000 0.000 0.000
0.000 0.000 0.500
0.333 0.667 0.672
0.667 0.333 0.328
```

7.
First-principles (GGA-PBE) data for an optimized crystal structure of TbZrGa, as listed in the Alexandria database.

Output
- ΔE to the lowest computed polymorph: 0.0000 eV/atom
- Total energy: -35.01 eV per cell
- Total magnetic moment: 0.00 μB/f.u.
- Formation energy: -0.433 eV/atom
- Calculated volume: 143.9 Å³/cell

```
TbZrGa
1.0
4.269 0.000 0.000
0.000 4.269 0.000
0.000 0.000 7.895
Tb Zr Ga
2 2 2
direct
0.250 0.250 0.151
0.750 0.750 0.849
0.250 0.750 0.500
0.750 0.250 0.500
0.250 0.250 0.758
0.750 0.750 0.242
```

8.
First-principles (GGA-PBE) data for an optimized crystal structure of TbZr2Ga6, as listed in the Alexandria database.

Output
- ΔE to the lowest computed polymorph: 0.0949 eV/atom
- Total energy: -43.77 eV per cell
- Total magnetic moment: 0.00 μB/f.u.
- Formation energy: -0.432 eV/atom
- Calculated volume: 182.6 Å³/cell

```
TbZr2Ga6
1.0
-2.082 3.385 6.478
2.082 -3.385 6.478
2.082 3.385 -6.478
Tb Zr Ga
1 2 6
direct
0.000 0.000 0.000
0.380 0.880 0.500
0.620 0.120 0.500
0.014 0.310 0.703
0.313 0.500 0.813
0.393 0.690 0.703
0.607 0.310 0.297
0.687 0.500 0.187
0.986 0.690 0.297
```

> The highest total energy belongs to which entry?

TbZn6Ga2

> Which value of total magnetic moment does entry 2 give?

0.00 μB/f.u.